# 1
BaTl2Ge2S6 PBE-GGA relaxed; raw formation energy = -0.56 eV per atom; total magnetic moment = 0.00 Bohr magnetons per cell
1.0
3.621 2.091 8.433
-3.621 2.091 8.433
0.000 -4.182 8.433
Ba Tl Ge S
1 2 2 6
Direct
0.000 0.000 0.000
0.202 0.202 0.202
0.798 0.798 0.798
0.425 0.425 0.425
0.575 0.575 0.575
0.233 0.742 0.742
0.258 0.258 0.767
0.258 0.767 0.258
0.742 0.233 0.742
0.742 0.742 0.233
0.767 0.258 0.258



# 2
Ba2TmGeS5 PBE-GGA relaxed; raw formation energy = -1.62 eV per atom; total magnetic moment = 0.00 Bohr magnetons per cell
1.0
2.143 -8.979 0.000
2.143 8.979 0.000
0.000 0.000 12.708
Ba Tm Ge S
4 2 2 10
Direct
0.120 0.880 0.500
0.128 0.872 0.140
0.872 0.128 0.640
0.880 0.120 0.000
0.204 0.796 0.841
0.796 0.204 0.341
0.443 0.557 0.253
0.557 0.443 0.753
0.046 0.954 0.832
0.299 0.701 0.474
0.317 0.683 0.194
0.348 0.652 0.822
0.499 0.501 0.092
0.501 0.499 0.592
0.652 0.348 0.322
0.683 0.317 0.694
0.701 0.299 0.974
0.954 0.046 0.332



# 3
Ba2UGeS6 PBE-GGA relaxed; raw formation energy = -1.37 eV per atom; total magnetic moment = 0.00 Bohr magnetons per cell
1.0
7.200 0.000 0.000
0.000 10.182 0.000
0.000 0.000 7.200
Ba U Ge S
4 2 2 12
Direct
0.250 0.000 0.249
0.250 0.500 0.249
0.750 0.000 0.751
0.750 0.500 0.751
0.250 0.250 0.750
0.750 0.750 0.250
0.250 0.750 0.750
0.750 0.250 0.250
0.000 0.250 0.501
0.000 0.750 0.499
0.001 0.250 0.000
0.250 0.001 0.751
0.250 0.499 0.751
0.499 0.250 0.000
0.500 0.250 0.501
0.500 0.750 0.499
0.501 0.750 0.000
0.750 0.501 0.249
0.750 0.999 0.249
0.999 0.750 0.000



# 4
Ba2GeWS PBE-GGA relaxed; raw formation energy = 0.06 eV per atom; total magnetic moment = 1.40 Bohr magnetons per cell
1.0
6.062 0.000 0.000
0.000 6.062 0.000
0.000 0.000 4.498
Ba Ge W S
2 1 1 1
Direct
0.000 0.500 0.000
0.500 0.000 0.000
0.000 0.000 0.500
0.500 0.500 0.500
0.500 0.500 0.000



# 5
Ba2YGeS5 PBE-GGA relaxed; raw formation energy = -1.63 eV per atom; total magnetic moment = 0.00 Bohr magnetons per cell
1.0
2.155 -8.982 0.000
2.155 8.982 0.000
0.000 0.000 12.776
Ba Y Ge S
4 2 2 10
Direct
0.120 0.880 0.500
0.127 0.873 0.143
0.873 0.127 0.643
0.880 0.120 0.000
0.203 0.797 0.842
0.797 0.203 0.342
0.445 0.555 0.250
0.555 0.445 0.750
0.042 0.958 0.828
0.299 0.701 0.477
0.318 0.682 0.194
0.348 0.652 0.823
0.500 0.500 0.090
0.500 0.500 0.590
0.652 0.348 0.323
0.682 0.318 0.694
0.701 0.299 0.977
0.958 0.042 0.328



# 6
BaZrGe2S8 PBE-GGA relaxed; raw formation energy = -0.70 eV per atom; total magnetic moment = 0.93 Bohr magnetons per cell
1.0
6.120 0.000 0.000
-3.060 5.300 0.000
0.000 0.000 8.995
Ba Zr Ge S
1 1 2 8
Direct
0.000 0.000 0.000
0.000 0.000 0.500
0.333 0.667 0.742
0.667 0.333 0.258
0.025 0.684 0.323
0.316 0.341 0.323
0.333 0.667 0.988
0.341 0.025 0.677
0.659 0.975 0.323
0.667 0.333 0.012
0.684 0.659 0.677
0.975 0.316 0.677



# 7
BaGe3Sb PBE-GGA relaxed; raw formation energy = 0.27 eV per atom; excess energy over the best structure of this formula in the dataset = 0 meV per atom; total magnetic moment = 0.00 Bohr magnetons per cell
1.0
5.437 0.000 0.000
0.000 5.437 0.000
0.000 0.000 5.437
Ba Ge Sb
1 3 1
Direct
0.000 0.000 0.000
0.000 0.500 0.500
0.500 0.000 0.500
0.500 0.500 0.000
0.500 0.500 0.500



# 8
Ba3Ge2Sb2 PBE-GGA relaxed; raw formation energy = -0.70 eV per atom; total magnetic moment = 0.00 Bohr magnetons per cell
1.0
-2.513 2.515 10.044
2.513 -2.515 10.044
2.513 2.515 -10.044
Ba Ge Sb
3 2 2
Direct
0.000 0.000 0.000
0.180 0.680 0.500
0.820 0.320 0.500
0.433 0.433 0.000
0.567 0.567 0.000
0.362 0.862 0.500
0.638 0.138 0.500



# 9
BaGe3Sb PBE-GGA relaxed; raw formation energy = 1.33 eV per atom; excess energy over the best structure of this formula in the dataset = 1061 meV per atom; total magnetic moment = 0.00 Bohr magnetons per cell
1.0
5.738 0.000 0.000
0.000 5.738 0.000
0.000 0.000 5.738
Ba Ge Sb
1 3 1
Direct
0.000 0.000 0.000
0.000 0.000 0.500
0.000 0.500 0.000
0.500 0.000 0.000
0.500 0.500 0.500



# 10
Ba2GeSb PBE-GGA relaxed; raw formation energy = -0.74 eV per atom; excess energy over the best structure of this formula in the dataset = 0 meV per atom; total magnetic moment = 0.00 Bohr magnetons per cell
1.0
8.272 0.000 0.000
0.000 7.383 0.000
-3.160 0.000 9.780
Ba Ge Sb
8 4 4
Direct
0.034 0.247 0.133
0.034 0.253 0.633
0.426 0.748 0.232
0.426 0.752 0.732
0.574 0.248 0.268
0.574 0.252 0.768
0.966 0.747 0.367
0.966 0.753 0.867
0.319 0.043 0.955
0.319 0.457 0.455
0.681 0.543 0.545
0.681 0.957 0.045
0.277 0.084 0.444
0.277 0.416 0.944
0.723 0.584 0.056
0.723 0.916 0.556



# 11
BaGe2Sb2 PBE-GGA relaxed; raw formation energy = -0.19 eV per atom; total magnetic moment = 0.00 Bohr magnetons per cell
1.0
-2.337 2.337 7.171
2.337 -2.337 7.171
2.337 2.337 -7.171
Ba Ge Sb
1 2 2
Direct
0.000 0.000 0.000
0.250 0.750 0.500
0.750 0.250 0.500
0.378 0.378 0.000
0.622 0.622 0.000



# 12
Ba2GeSb PBE-GGA relaxed; raw formation energy = -0.35 eV per atom; excess energy over the best structure of this formula in the dataset = 396 meV per atom; total magnetic moment = 0.00 Bohr magnetons per cell
1.0
-4.605 4.605 3.571
4.605 -4.605 3.571
4.605 4.605 -3.571
Ba Ge Sb
4 2 2
Direct
0.114 0.625 0.989
0.375 0.364 0.489
0.636 0.125 0.011
0.875 0.886 0.511
0.000 0.000 0.000
0.750 0.250 0.500
0.250 0.750 0.500
0.500 0.500 0.000



# 13
BaGeSb PBE-GGA relaxed; raw formation energy = -0.58 eV per atom; excess energy over the best structure of this formula in the dataset = 5 meV per atom; total magnetic moment = 0.00 Bohr magnetons per cell
1.0
-2.439 4.302 4.831
2.439 -4.302 4.831
2.439 4.302 -4.831
Ba Ge Sb
2 2 2
Direct
0.246 0.246 0.000
0.754 0.754 0.000
0.351 0.000 0.351
0.649 0.000 0.649
0.182 0.500 0.682
0.818 0.500 0.318



# 14
BaGeSb4 PBE-GGA relaxed; raw formation energy = -0.13 eV per atom; total magnetic moment = 0.00 Bohr magnetons per cell
1.0
9.052 -3.440 0.000
9.052 3.440 0.000
-1.888 0.000 6.487
Ba Ge Sb
2 2 8
Direct
0.231 0.769 0.750
0.769 0.231 0.250
0.000 0.500 0.000
0.500 0.000 0.500
0.075 0.318 0.570
0.188 0.643 0.185
0.318 0.075 0.070
0.357 0.812 0.315
0.643 0.188 0.685
0.682 0.925 0.930
0.812 0.357 0.815
0.925 0.682 0.430



# 15
Ba3GeSb3 PBE-GGA relaxed; raw formation energy = -0.80 eV per atom; total magnetic moment = 0.00 Bohr magnetons per cell
1.0
10.737 -3.642 0.000
10.737 3.642 0.000
0.000 0.000 14.290
Ba Ge Sb
12 4 12
Direct
0.020 0.634 0.129
0.134 0.520 0.629
0.194 0.806 0.859
0.306 0.694 0.359
0.366 0.980 0.129
0.480 0.866 0.629
0.520 0.134 0.371
0.634 0.020 0.871
0.694 0.306 0.641
0.806 0.194 0.141
0.866 0.480 0.371
0.980 0.366 0.871
0.085 0.085 0.500
0.415 0.415 0.000
0.585 0.585 0.000
0.915 0.915 0.500
0.038 0.640 0.379
0.140 0.538 0.879
0.212 0.788 0.611
0.288 0.712 0.111
0.360 0.962 0.379
0.462 0.860 0.879
0.538 0.140 0.121
0.640 0.038 0.621
0.712 0.288 0.889
0.788 0.212 0.389
0.860 0.462 0.121
0.962 0.360 0.621



# 16
Ba2GeSb PBE-GGA relaxed; raw formation energy = -0.54 eV per atom; excess energy over the best structure of this formula in the dataset = 204 meV per atom; total magnetic moment = 0.00 Bohr magnetons per cell
1.0
0.000 4.168 4.168
4.168 0.000 4.168
4.168 4.168 0.000
Ba Ge Sb
2 1 1
Direct
0.250 0.250 0.250
0.750 0.750 0.750
0.000 0.000 0.000
0.500 0.500 0.500



# 17
Ba5Ge2Sb6 PBE-GGA relaxed; raw formation energy = -0.72 eV per atom; total magnetic moment = 0.00 Bohr magnetons per cell
1.0
13.393 0.000 0.000
0.000 15.867 0.000
0.000 0.000 4.724
Ba Ge Sb
10 4 12
Direct
0.000 0.000 0.000
0.076 0.254 0.000
0.176 0.511 0.000
0.324 0.011 0.000
0.424 0.754 0.000
0.500 0.500 0.000
0.576 0.246 0.000
0.676 0.989 0.000
0.824 0.489 0.000
0.924 0.746 0.000
0.173 0.712 0.500
0.327 0.212 0.500
0.673 0.788 0.500
0.827 0.288 0.500
0.006 0.593 0.500
0.159 0.106 0.500
0.175 0.817 0.000
0.325 0.317 0.000
0.341 0.606 0.500
0.494 0.093 0.500
0.506 0.907 0.500
0.659 0.394 0.500
0.675 0.683 0.000
0.825 0.183 0.000
0.841 0.894 0.500
0.994 0.407 0.500



# 18
Ba2GeSb2 PBE-GGA relaxed; raw formation energy = -0.74 eV per atom; excess energy over the best structure of this formula in the dataset = 0 meV per atom; total magnetic moment = 0.00 Bohr magnetons per cell
1.0
6.503 -2.292 0.000
6.503 2.292 0.000
-4.934 0.000 12.164
Ba Ge Sb
4 2 4
Direct
0.084 0.084 0.410
0.314 0.314 0.852
0.686 0.686 0.148
0.916 0.916 0.590
0.455 0.455 0.230
0.545 0.545 0.770
0.066 0.066 0.901
0.332 0.332 0.359
0.668 0.668 0.641
0.934 0.934 0.099



# 19
BaGeSb PBE-GGA relaxed; raw formation energy = -0.49 eV per atom; excess energy over the best structure of this formula in the dataset = 96 meV per atom; total magnetic moment = 0.00 Bohr magnetons per cell
1.0
4.765 -2.088 0.000
4.765 2.088 0.000
-2.633 0.000 10.403
Ba Ge Sb
2 2 2
Direct
0.000 0.000 0.000
0.122 0.122 0.433
0.372 0.372 0.188
0.755 0.755 0.252
0.225 0.225 0.774
0.502 0.502 0.686



# 20
Ba4GeSb4 PBE-GGA relaxed; raw formation energy = -0.85 eV per atom; total magnetic moment = 0.00 Bohr magnetons per cell
1.0
10.042 0.000 0.000
0.000 10.042 0.000
0.000 0.000 7.271
Ba Ge Sb
8 2 8
Direct
0.013 0.250 0.055
0.250 0.013 0.555
0.250 0.487 0.555
0.487 0.250 0.055
0.513 0.750 0.945
0.750 0.513 0.445
0.750 0.987 0.445
0.987 0.750 0.945
0.250 0.750 0.250
0.750 0.250 0.750
0.020 0.750 0.454
0.250 0.520 0.046
0.250 0.980 0.046
0.480 0.750 0.454
0.520 0.250 0.546
0.750 0.020 0.954
0.750 0.480 0.954
0.980 0.250 0.546



# 21
BaGe2Sb2 PBE-GGA relaxed; raw formation energy = -0.29 eV per atom; total magnetic moment = 0.00 Bohr magnetons per cell
1.0
-2.729 2.729 5.053
2.729 -2.729 5.053
2.729 2.729 -5.053
Ba Ge Sb
1 2 2
Direct
0.000 0.000 0.000
0.359 0.359 0.000
0.641 0.641 0.000
0.250 0.750 0.500
0.750 0.250 0.500